Below is a relaxed structure of Li2VMoO4, with properties calculated at the PBE with a Hubbard U level.

Properties
Raw total energy   -6.69 eV per atom
N(E_F)   0.000 states/eV/atom
Crystal system   monoclinic

CIF file:
```
data_Li2VMoO4
_symmetry_space_group_name_H-M 'P 1 2/m 1'
_symmetry_Int_Tables_number 10
_symmetry_space_group_name_Hall '-P 2y'
_cell_length_a 5.239
_cell_length_b 3.105
_cell_length_c 5.384
_cell_angle_alpha 90.00
_cell_angle_beta 109.97
_cell_angle_gamma 90.00
loop_
_atom_site_label
_atom_site_type_symbol
_atom_site_fract_x
_atom_site_fract_y
_atom_site_fract_z
_atom_site_occupancy
Li1 Li 0.000 0.000 0.000 1
Li2 Li 0.000 0.500 0.500 1
V1 V 0.500 0.000 0.500 1
Mo1 Mo 0.500 0.500 0.000 1
O1 O 0.267 0.000 0.742 1
O2 O 0.270 0.500 0.267 1
```